--- i ---
DFT (PBE) results for an optimized crystal structure of B2IBr.

SG: I-42d (122)

a = 6.279 Å, b = 6.279 Å, c = 7.536 Å
α = 65.38°, β = 65.38°, γ = 90.00°
Atoms (fractional coordinates):
B: 0.143 0.625 0.250
B: 0.875 0.857 0.750
B: 0.375 0.393 0.750
I: 0.750 0.250 0.500
Br: 0.250 0.750 0.500
I: 0.000 0.000 0.000
B: 0.607 0.125 0.250
Br: 0.500 0.500 0.000



--- ii ---
DFT (PBE) results for an optimized crystal structure of B2IBr.

SG: Fm-3m (225)

a = 4.943 Å, b = 4.943 Å, c = 4.943 Å
α = 60.00°, β = 60.00°, γ = 60.00°
Atoms (fractional coordinates):
Br: 0.000 0.000 0.000
I: 0.500 0.500 0.500
B: 0.250 0.250 0.250
B: 0.750 0.750 0.750



i (21.8 kJ/mol of atoms below the next structure)



--- i ---
DFT (PBE) results for an optimized crystal structure of BIBr3.

SG: Pm-3m (221)

a = 4.895 Å, b = 4.895 Å, c = 4.895 Å
α = 90.00°, β = 90.00°, γ = 90.00°
Atoms (fractional coordinates):
B: 0.000 0.000 0.000
I: 0.500 0.500 0.500
Br: 0.000 0.500 0.000
Br: 0.500 0.000 0.000
Br: 0.000 0.000 0.500



--- ii ---
DFT (PBE) results for an optimized crystal structure of BIBr3.

SG: P2_1/c (14)

a = 5.864 Å, b = 12.471 Å, c = 11.857 Å
α = 95.21°, β = 90.00°, γ = 90.00°
Atoms (fractional coordinates):
Br: 0.233 0.940 0.005
Br: 0.300 0.696 0.628
B: 0.118 0.104 0.992
Br: 0.200 0.153 0.846
Br: 0.700 0.304 0.372
Br: 0.200 0.196 0.128
Br: 0.767 0.060 0.995
Br: 0.267 0.440 0.505
B: 0.882 0.896 0.008
Br: 0.800 0.804 0.872
I: 0.727 0.474 0.020
Br: 0.800 0.847 0.154
B: 0.382 0.604 0.492
Br: 0.733 0.560 0.495
I: 0.227 0.026 0.480
Br: 0.300 0.653 0.346
I: 0.273 0.526 0.980
Br: 0.700 0.347 0.654
B: 0.618 0.396 0.508
I: 0.773 0.974 0.520



ii (94.9 kJ/mol of atoms below the next structure)



--- i ---
DFT (PBE) results for an optimized crystal structure of BI2Br.

SG: P2_1/c (14)

a = 5.530 Å, b = 7.484 Å, c = 18.188 Å
α = 90.04°, β = 89.99°, γ = 90.03°
Atoms (fractional coordinates):
I: 0.668 0.466 0.119
Br: 0.251 0.391 0.250
Br: 0.749 0.609 0.750
I: 0.332 0.534 0.881
Br: 0.250 0.891 0.750
B: 0.999 0.750 0.682
I: 0.667 0.967 0.881
I: 0.833 0.467 0.381
I: 0.167 0.533 0.619
B: 0.499 0.750 0.818
B: 0.501 0.250 0.182
I: 0.832 0.966 0.619
Br: 0.750 0.109 0.250
I: 0.333 0.033 0.119
I: 0.168 0.034 0.381
B: 0.001 0.250 0.318



--- ii ---
DFT (PBE) results for an optimized crystal structure of BI2Br.

SG: Fm-3m (225)

a = 5.365 Å, b = 5.365 Å, c = 5.365 Å
α = 60.00°, β = 60.00°, γ = 60.00°
Atoms (fractional coordinates):
I: 0.250 0.250 0.250
Br: 0.500 0.500 0.500
B: 0.000 0.000 0.000
I: 0.750 0.750 0.750



i (144.1 kJ/mol of atoms below the next structure)



--- i ---
DFT (PBE) results for an optimized crystal structure of BIBrN2.

SG: P4/mmm (123)

a = 3.873 Å, b = 3.873 Å, c = 7.894 Å
α = 90.00°, β = 90.00°, γ = 90.00°
Atoms (fractional coordinates):
N: 0.000 0.500 0.000
Br: 0.000 0.000 0.000
B: 0.500 0.500 0.500
I: 0.000 0.000 0.500
N: 0.500 0.000 0.000



--- ii ---
DFT (PBE) results for an optimized crystal structure of BIBrN2.

SG: P4/mmm (123)

a = 3.675 Å, b = 3.675 Å, c = 6.844 Å
α = 90.00°, β = 90.00°, γ = 90.00°
Atoms (fractional coordinates):
N: 0.500 0.000 0.000
B: 0.000 0.000 0.000
Br: 0.500 0.500 0.500
I: 0.000 0.000 0.500
N: 0.000 0.500 0.000



ii (57.7 kJ/mol of atoms below the next structure)



--- i ---
DFT (PBE) results for an optimized crystal structure of BI2BrN.

SG: P4/mmm (123)

a = 6.582 Å, b = 6.582 Å, c = 3.676 Å
α = 90.00°, β = 90.00°, γ = 90.00°
Atoms (fractional coordinates):
Br: 0.000 0.000 0.000
N: 0.000 0.000 0.500
B: 0.500 0.500 0.500
I: 0.500 0.000 0.000
I: 0.000 0.500 0.000



--- ii ---
DFT (PBE) results for an optimized crystal structure of BI2BrN.

SG: P4/mmm (123)

a = 8.641 Å, b = 8.641 Å, c = 2.716 Å
α = 90.00°, β = 90.00°, γ = 90.00°
Atoms (fractional coordinates):
B: 0.000 0.000 0.000
I: 0.000 0.500 0.000
I: 0.500 0.000 0.000
Br: 0.500 0.500 0.500
N: 0.000 0.000 0.500



ii (195.0 kJ/mol of atoms below the next structure)



--- i ---
DFT (PBE) results for an optimized crystal structure of BTeI2Br.

SG: P4/mmm (123)

a = 5.103 Å, b = 5.103 Å, c = 5.082 Å
α = 90.00°, β = 90.00°, γ = 90.00°
Atoms (fractional coordinates):
B: 0.000 0.000 0.000
I: 0.500 0.000 0.000
I: 0.000 0.500 0.000
Br: 0.500 0.500 0.500
Te: 0.000 0.000 0.500



--- ii ---
DFT (PBE) results for an optimized crystal structure of BTeI2Br.

SG: P4/mmm (123)

a = 5.874 Å, b = 5.874 Å, c = 5.659 Å
α = 90.00°, β = 90.00°, γ = 90.00°
Atoms (fractional coordinates):
I: 0.500 0.000 0.000
B: 0.500 0.500 0.500
Br: 0.000 0.000 0.000
I: 0.000 0.500 0.000
Te: 0.000 0.000 0.500



i (66.1 kJ/mol of atoms below the next structure)



--- i ---
DFT (PBE) results for an optimized crystal structure of InBBr3.

SG: Pm-3m (221)

a = 5.544 Å, b = 5.544 Å, c = 5.544 Å
α = 90.00°, β = 90.00°, γ = 90.00°
Atoms (fractional coordinates):
B: 0.500 0.500 0.500
In: 0.000 0.000 0.000
Br: 0.500 0.000 0.000
Br: 0.000 0.000 0.500
Br: 0.000 0.500 0.000



--- ii ---
DFT (PBE) results for an optimized crystal structure of InBBr3.

SG: Pm-3m (221)

a = 4.939 Å, b = 4.939 Å, c = 4.939 Å
α = 90.00°, β = 90.00°, γ = 90.00°
Atoms (fractional coordinates):
B: 0.000 0.000 0.000
Br: 0.500 0.000 0.000
In: 0.500 0.500 0.500
Br: 0.000 0.500 0.000
Br: 0.000 0.000 0.500



ii (39.3 kJ/mol of atoms below the next structure)



--- i ---
DFT (PBE) results for an optimized crystal structure of InB2Br.

SG: Fm-3m (225)

a = 4.606 Å, b = 4.606 Å, c = 4.606 Å
α = 60.00°, β = 60.00°, γ = 60.00°
Atoms (fractional coordinates):
B: 0.750 0.750 0.750
Br: 0.000 0.000 0.000
In: 0.500 0.500 0.500
B: 0.250 0.250 0.250



--- ii ---
DFT (PBE) results for an optimized crystal structure of InB2Br.

SG: I-42d (122)

a = 5.361 Å, b = 5.361 Å, c = 6.586 Å
α = 65.98°, β = 65.98°, γ = 90.00°
Atoms (fractional coordinates):
In: 0.750 0.250 0.500
B: 0.635 0.125 0.250
B: 0.375 0.365 0.750
Br: 0.500 0.500 0.000
B: 0.875 0.885 0.750
B: 0.115 0.625 0.250
Br: 0.250 0.750 0.500
In: 0.000 0.000 0.000



ii (57.4 kJ/mol of atoms below the next structure)



--- i ---
DFT (PBE) results for an optimized crystal structure of InBBr2.

SG: I-42d (122)

a = 6.696 Å, b = 6.696 Å, c = 7.516 Å
α = 63.55°, β = 63.55°, γ = 90.00°
Atoms (fractional coordinates):
In: 0.000 0.000 0.000
Br: 0.875 0.718 0.750
B: 0.250 0.750 0.500
In: 0.750 0.250 0.500
Br: 0.468 0.125 0.250
Br: 0.375 0.532 0.750
Br: 0.282 0.625 0.250
B: 0.500 0.500 0.000



--- ii ---
DFT (PBE) results for an optimized crystal structure of InBBr2.

SG: R-3m (166)

a = 9.375 Å, b = 9.375 Å, c = 9.375 Å
α = 21.68°, β = 21.68°, γ = 21.68°
Atoms (fractional coordinates):
Br: 0.887 0.887 0.887
Br: 0.113 0.113 0.113
B: 0.500 0.500 0.500
In: 0.000 0.000 0.000



i (4.9 kJ/mol of atoms below the next structure)



--- i ---
DFT (PBE) results for an optimized crystal structure of In3BBr.

SG: Pm-3m (221)

a = 5.968 Å, b = 5.968 Å, c = 5.968 Å
α = 90.00°, β = 90.00°, γ = 90.00°
Atoms (fractional coordinates):
In: 0.000 0.000 0.500
Br: 0.000 0.000 0.000
In: 0.500 0.000 0.000
B: 0.500 0.500 0.500
In: 0.000 0.500 0.000



--- ii ---
DFT (PBE) results for an optimized crystal structure of In3BBr.

SG: Pm-3m (221)

a = 5.017 Å, b = 5.017 Å, c = 5.017 Å
α = 90.00°, β = 90.00°, γ = 90.00°
Atoms (fractional coordinates):
In: 0.500 0.000 0.000
In: 0.000 0.000 0.500
In: 0.000 0.500 0.000
Br: 0.500 0.500 0.500
B: 0.000 0.000 0.000



ii (94.8 kJ/mol of atoms below the next structure)



--- i ---
DFT (PBE) results for an optimized crystal structure of B2IrBr.

SG: Fm-3m (225)

a = 4.088 Å, b = 4.088 Å, c = 4.088 Å
α = 60.00°, β = 60.00°, γ = 60.00°
Atoms (fractional coordinates):
B: 0.250 0.250 0.250
B: 0.750 0.750 0.750
Br: 0.000 0.000 0.000
Ir: 0.500 0.500 0.500



--- ii ---
DFT (PBE) results for an optimized crystal structure of B2IrBr.

SG: I-42d (122)

a = 5.141 Å, b = 5.141 Å, c = 6.294 Å
α = 65.89°, β = 65.89°, γ = 90.00°
Atoms (fractional coordinates):
Br: 0.250 0.750 0.500
B: 0.375 0.289 0.750
Br: 0.500 0.500 0.000
Ir: 0.750 0.250 0.500
B: 0.875 0.961 0.750
Ir: 0.000 0.000 0.000
B: 0.711 0.125 0.250
B: 0.039 0.625 0.250



ii (130.1 kJ/mol of atoms below the next structure)



--- i ---
DFT (PBE) results for an optimized crystal structure of KB3Br.

SG: Pm-3m (221)

a = 4.940 Å, b = 4.940 Å, c = 4.940 Å
α = 90.00°, β = 90.00°, γ = 90.00°
Atoms (fractional coordinates):
B: 0.000 0.500 0.000
B: 0.500 0.000 0.000
K: 0.500 0.500 0.500
B: 0.000 0.000 0.500
Br: 0.000 0.000 0.000



--- ii ---
DFT (PBE) results for an optimized crystal structure of KB3Br.

SG: Pm-3m (221)

a = 5.748 Å, b = 5.748 Å, c = 5.748 Å
α = 90.00°, β = 90.00°, γ = 90.00°
Atoms (fractional coordinates):
B: 0.000 0.000 0.500
Br: 0.500 0.500 0.500
K: 0.000 0.000 0.000
B: 0.000 0.500 0.000
B: 0.500 0.000 0.000



i (65.7 kJ/mol of atoms below the next structure)